The following is a DFT calculation (GGA-PBE) of a relaxed NdInHgS3 crystal.

abc: 7.7856 7.7856 10.7374
angles: 90.00 90.00 148.67
Fractional coordinates of all 12 atoms:
Nd (0.0000, 0.0000, 0.0000)
Nd (0.0000, 0.0000, 0.5000)
In (0.3179, 0.6821, 0.7500)
In (0.6821, 0.3179, 0.2500)
Hg (0.3522, 0.6478, 0.2500)
Hg (0.6478, 0.3522, 0.7500)
S (0.0597, 0.9403, 0.2500)
S (0.3719, 0.6281, 0.0283)
S (0.3719, 0.6281, 0.4717)
S (0.6281, 0.3719, 0.5283)
S (0.6281, 0.3719, 0.9717)
S (0.9403, 0.0597, 0.7500)

## Properties
* spin magnetization: 0.00 Bohr magnetons per cell

The following is a DFT calculation (GGA-PBE) of a relaxed AgPbSO crystal.

abc: 7.3564 7.3564 6.0916
angles: 90.00 90.00 152.40
Fractional coordinates of all 8 atoms:
Ag (0.1324, 0.8676, 0.7500)
Ag (0.8676, 0.1324, 0.2500)
Pb (0.4276, 0.5724, 0.7500)
Pb (0.5724, 0.4276, 0.2500)
S (0.2519, 0.7481, 0.2500)
S (0.7481, 0.2519, 0.7500)
O (0.0000, 0.0000, 0.0000)
O (0.0000, 0.0000, 0.5000)

Number 1: energy -4.297 eV per atom. Number 2: energy -4.150 eV per atom.